This record from the Open Quantum Materials Database describes KTaNb after structural relaxation. The functional is GGA-PBE.

Properties
The symmetry is No. 216. Its crystal system is cubic.

a = 4.8125 Å, b = 4.8125 Å, c = 4.8125 Å
α = 60.00°, β = 60.00°, γ = 60.00°
Fractional positions:
K1 0.0000 0.0000 0.0000
Ta1 0.5000 0.5000 0.5000
Nb1 0.2500 0.2500 0.2500

This record from the Open Quantum Materials Database describes KNbTc after structural relaxation. The functional is GGA-PBE.

Properties
The symmetry is No. 216. Its crystal system is cubic.

a = 4.5902 Å, b = 4.5902 Å, c = 4.5902 Å
α = 60.00°, β = 60.00°, γ = 60.00°
Fractional positions:
K1 0.0000 0.0000 0.0000
Nb1 0.5000 0.5000 0.5000
Tc1 0.2500 0.2500 0.2500

This record from the Open Quantum Materials Database describes KNbTc after structural relaxation. The functional is GGA-PBE.

Properties
The symmetry is No. 216. Its crystal system is cubic.

a = 4.5181 Å, b = 4.5181 Å, c = 4.5181 Å
α = 60.00°, β = 60.00°, γ = 60.00°
Fractional positions:
K1 0.0000 0.0000 0.0000
Nb1 0.7500 0.7500 0.7500
Tc1 0.2500 0.2500 0.2500

This record from the Open Quantum Materials Database describes K2NbTe3 after structural relaxation. The functional is GGA-PBE.

Properties
The symmetry is No. 11. Its crystal system is monoclinic.

a = 8.4501 Å, b = 4.0815 Å, c = 13.0969 Å
α = 90.00°, β = 94.77°, γ = 90.00°
Fractional positions:
K1 0.1594 0.2500 0.3576
K2 0.2638 0.7500 0.0151
K3 0.7362 0.2500 0.9849
K4 0.8406 0.7500 0.6424
Nb1 0.3032 0.2500 0.7220
Nb2 0.6968 0.7500 0.2780
Te1 0.0552 0.2500 0.8307
Te2 0.2461 0.7500 0.5757
Te3 0.4883 0.2500 0.1946
Te4 0.5117 0.7500 0.8054
Te5 0.7539 0.2500 0.4243
Te6 0.9448 0.7500 0.1693

This record from the Open Quantum Materials Database describes KNb3Te3 after structural relaxation. The functional is GGA-PBE.

Properties
The symmetry is No. 11. Its crystal system is monoclinic.

a = 9.8279 Å, b = 4.8085 Å, c = 9.8651 Å
α = 90.00°, β = 119.13°, γ = 90.00°
Fractional positions:
K1 0.1447 0.2500 0.3163
K2 0.8553 0.7500 0.6837
Nb1 0.3440 0.2500 0.7924
Nb2 0.3567 0.7500 0.9717
Nb3 0.4656 0.2500 0.1699
Nb4 0.5344 0.7500 0.8301
Nb5 0.6433 0.2500 0.0283
Nb6 0.6560 0.7500 0.2076
Te1 0.1469 0.2500 0.9335
Te2 0.1997 0.7500 0.6260
Te3 0.4204 0.7500 0.3011
Te4 0.5796 0.2500 0.6989
Te5 0.8003 0.2500 0.3740
Te6 0.8531 0.7500 0.0665

This record from the Open Quantum Materials Database describes KNbTl after structural relaxation. The functional is GGA-PBE.

Properties
The symmetry is No. 216. Its crystal system is cubic.

a = 5.2693 Å, b = 5.2693 Å, c = 5.2693 Å
α = 60.00°, β = 60.00°, γ = 60.00°
Fractional positions:
K1 0.0000 0.0000 0.0000
Nb1 0.5000 0.5000 0.5000
Tl1 0.2500 0.2500 0.2500

This record from the Open Quantum Materials Database describes KTmNb after structural relaxation. The functional is GGA-PBE.

Properties
The symmetry is No. 216. Its crystal system is cubic.

a = 5.4518 Å, b = 5.4518 Å, c = 5.4518 Å
α = 60.00°, β = 60.00°, γ = 60.00°
Fractional positions:
K1 0.0000 0.0000 0.0000
Tm1 0.5000 0.5000 0.5000
Nb1 0.2500 0.2500 0.2500

This record from the Open Quantum Materials Database describes KUNb after structural relaxation. The functional is GGA-PBE.

Properties
The symmetry is No. 216. Its crystal system is cubic.

a = 4.8903 Å, b = 4.8903 Å, c = 4.8903 Å
α = 60.00°, β = 60.00°, γ = 60.00°
Fractional positions:
K1 0.0000 0.0000 0.0000
U1 0.5000 0.5000 0.5000
Nb1 0.2500 0.2500 0.2500

This record from the Open Quantum Materials Database describes KNd2 after structural relaxation. The functional is GGA-PBE.

Properties
The symmetry is No. 227. Its crystal system is cubic.

a = 7.2376 Å, b = 7.2376 Å, c = 7.2376 Å
α = 60.00°, β = 60.00°, γ = 60.00°
Fractional positions:
K1 0.1250 0.1250 0.1250
K2 0.8750 0.8750 0.8750
Nd1 0.0000 0.5000 0.5000
Nd2 0.5000 0.0000 0.5000
Nd3 0.5000 0.5000 0.0000
Nd4 0.5000 0.5000 0.5000

This record from the Open Quantum Materials Database describes KNd2 after structural relaxation. The functional is GGA-PBE.

Properties
The symmetry is No. 227. Its crystal system is cubic.

a = 11.8691 Å, b = 11.8691 Å, c = 11.8691 Å
α = 60.00°, β = 60.00°, γ = 60.00°
Fractional positions:
K1 0.1250 0.1250 0.1250
K2 0.8750 0.8750 0.8750
Nd1 0.0000 0.0000 0.0000
Nd2 0.0000 0.0000 0.5000
Nd3 0.0000 0.5000 0.0000
Nd4 0.5000 0.0000 0.0000

This record from the Open Quantum Materials Database describes KNdNi after structural relaxation. The functional is GGA-PBE.

Properties
The symmetry is No. 216. Its crystal system is cubic.

a = 4.8268 Å, b = 4.8268 Å, c = 4.8268 Å
α = 60.00°, β = 60.00°, γ = 60.00°
Fractional positions:
K1 0.0000 0.0000 0.0000
Nd1 0.7500 0.7500 0.7500
Ni1 0.2500 0.2500 0.2500

This record from the Open Quantum Materials Database describes KNdNiS3 after structural relaxation. The functional is GGA-PBE.

Properties
The symmetry is No. 62. Its crystal system is orthorhombic.

a = 11.1014 Å, b = 4.1424 Å, c = 11.9046 Å
α = 90.00°, β = 90.00°, γ = 90.00°
Fractional positions:
K1 0.1672 0.2500 0.0069
K2 0.3328 0.7500 0.5069
K3 0.6672 0.2500 0.4931
K4 0.8328 0.7500 0.9931
Nd1 0.0136 0.2500 0.6666
Nd2 0.4864 0.7500 0.1666
Nd3 0.5136 0.2500 0.8334
Nd4 0.9864 0.7500 0.3334
Ni1 0.2466 0.2500 0.2914
Ni2 0.2534 0.7500 0.7914
Ni3 0.7466 0.2500 0.2086
Ni4 0.7534 0.7500 0.7086
S1 0.0541 0.7500 0.8249
S2 0.1192 0.2500 0.4444
S3 0.2266 0.7500 0.2241
S4 0.2734 0.2500 0.7241
S5 0.3808 0.7500 0.9444
S6 0.4459 0.2500 0.3249
S7 0.5541 0.7500 0.6751
S8 0.6192 0.2500 0.0556
S9 0.7266 0.7500 0.2759
S10 0.7734 0.2500 0.7759
S11 0.8808 0.7500 0.5556
S12 0.9459 0.2500 0.1751

This record from the Open Quantum Materials Database describes KNdNiS3 after structural relaxation. The functional is GGA-PBE.

Properties
The symmetry is No. 11. Its crystal system is monoclinic.

a = 8.8053 Å, b = 4.0148 Å, c = 9.3014 Å
α = 90.00°, β = 104.94°, γ = 90.00°
Fractional positions:
K1 0.1978 0.2500 0.2342
K2 0.8022 0.7500 0.7658
Nd1 0.3274 0.7500 0.8535
Nd2 0.6726 0.2500 0.1465
Ni1 0.0768 0.2500 0.5920
Ni2 0.9232 0.7500 0.4080
S1 0.1009 0.2500 0.8426
S2 0.1727 0.7500 0.5347
S3 0.4503 0.7500 0.1620
S4 0.5497 0.2500 0.8380
S5 0.8273 0.2500 0.4653
S6 0.8991 0.7500 0.1574

This record from the Open Quantum Materials Database describes KNdNiSe3 after structural relaxation. The functional is GGA-PBE.

Properties
The symmetry is No. 12. Its crystal system is monoclinic.

a = 8.7017 Å, b = 8.7017 Å, c = 8.7751 Å
α = 102.62°, β = 102.62°, γ = 29.00°
Fractional positions:
K1 0.1403 0.1403 0.0758
K2 0.8597 0.8597 0.9242
Nd1 0.1701 0.1701 0.5991
Nd2 0.8299 0.8299 0.4009
Ni1 0.4998 0.4998 0.2939
Ni2 0.5002 0.5002 0.7061
Se1 0.0000 0.0000 0.5000
Se2 0.3484 0.3484 0.6425
Se3 0.3541 0.3541 0.1956
Se4 0.5000 0.5000 0.0000
Se5 0.6459 0.6459 0.8044
Se6 0.6516 0.6516 0.3575

This record from the Open Quantum Materials Database describes KNdSmNi2 after structural relaxation. The functional is GGA-PBE.

Properties
The symmetry is No. 38. Its crystal system is orthorhombic.

a = 3.8155 Å, b = 9.3529 Å, c = 9.3529 Å
α = 24.91°, β = 90.00°, γ = 90.00°
Fractional positions:
K1 0.0000 0.0000 0.0000
Nd1 0.5000 0.3321 0.3321
Sm1 0.5000 0.6660 0.6660
Ni1 0.0000 0.2073 0.2073
Ni2 0.0000 0.7864 0.7864

This record from the Open Quantum Materials Database describes KNdYNi2 after structural relaxation. The functional is GGA-PBE.

Properties
The symmetry is No. 38. Its crystal system is orthorhombic.

a = 3.7747 Å, b = 9.2833 Å, c = 9.2833 Å
α = 25.03°, β = 90.00°, γ = 90.00°
Fractional positions:
K1 0.0000 0.0000 0.0000
Nd1 0.5000 0.3308 0.3308
Y1 0.5000 0.6650 0.6650
Ni1 0.0000 0.2039 0.2039
Ni2 0.0000 0.7847 0.7847

This record from the Open Quantum Materials Database describes K2Nd2O3 after structural relaxation. The functional is GGA-PBE.

Properties
The symmetry is No. 199. Its crystal system is cubic.

a = 7.8252 Å, b = 7.8252 Å, c = 7.8252 Å
α = 109.47°, β = 109.47°, γ = 109.47°
Fractional positions:
K1 0.0000 0.4743 0.5000
K2 0.0257 0.0257 0.0257
K3 0.4743 0.5000 0.0000
K4 0.5000 0.0000 0.4743
Nd1 0.0000 0.0219 0.5000
Nd2 0.0219 0.5000 0.0000
Nd3 0.4781 0.4781 0.4781
Nd4 0.5000 0.0000 0.0219
O1 0.2237 0.7500 0.9737
O2 0.2500 0.5263 0.2763
O3 0.2763 0.2500 0.5263
O4 0.5263 0.2763 0.2500
O5 0.7500 0.9737 0.2237
O6 0.9737 0.2237 0.7500

This record from the Open Quantum Materials Database describes KNd2O4 after structural relaxation. The functional is GGA-PBE.

Properties
The symmetry is No. 227. Its crystal system is cubic.

a = 7.2946 Å, b = 7.2946 Å, c = 7.2946 Å
α = 60.00°, β = 60.00°, γ = 60.00°
Fractional positions:
K1 0.1250 0.1250 0.1250
K2 0.8750 0.8750 0.8750
Nd1 0.0000 0.5000 0.5000
Nd2 0.5000 0.0000 0.5000
Nd3 0.5000 0.5000 0.0000
Nd4 0.5000 0.5000 0.5000
O1 0.2709 0.2709 0.2709
O2 0.2709 0.2709 0.6872
O3 0.2709 0.6872 0.2709
O4 0.3128 0.7291 0.7291
O5 0.6872 0.2709 0.2709
O6 0.7291 0.3128 0.7291
O7 0.7291 0.7291 0.3128
O8 0.7291 0.7291 0.7291

This record from the Open Quantum Materials Database describes KNdPO after structural relaxation. The functional is GGA-PBE.

Properties
The symmetry is No. 129. Its crystal system is tetragonal.

a = 5.8700 Å, b = 5.8700 Å, c = 5.3205 Å
α = 90.00°, β = 90.00°, γ = 90.00°
Fractional positions:
K1 0.2500 0.2500 0.0048
K2 0.7500 0.7500 0.9952
Nd1 0.2500 0.7500 0.5000
Nd2 0.7500 0.2500 0.5000
P1 0.2500 0.2500 0.5052
P2 0.7500 0.7500 0.4948
O1 0.2500 0.7500 0.0000
O2 0.7500 0.2500 0.0000

This record from the Open Quantum Materials Database describes KNdPO after structural relaxation. The functional is GGA-PBE.

Properties
The symmetry is No. 129. Its crystal system is tetragonal.

a = 4.1134 Å, b = 4.1134 Å, c = 10.7572 Å
α = 90.00°, β = 90.00°, γ = 90.00°
Fractional positions:
K1 0.2500 0.7500 0.0000
K2 0.7500 0.2500 0.0000
Nd1 0.2500 0.2500 0.3941
Nd2 0.7500 0.7500 0.6059
P1 0.2500 0.2500 0.7782
P2 0.7500 0.7500 0.2218
O1 0.2500 0.7500 0.5000
O2 0.7500 0.2500 0.5000

| no. | density (g/cm³) | final energy (eV for the cell shown) |
| --- | --- | --- |
| 1 | 6.59 | -16.44 |
| 2 | 5.58 | -16.52 |
| 3 | 5.86 | -12.93 |
| 4 | 4.09 | -51.53 |
| 5 | 5.71 | -89.36 |
| 6 | 5.40 | -9.56 |
| 7 | 4.36 | -10.84 |
| 8 | 7.43 | -16.06 |
| 9 | 4.06 | -18.18 |
| 10 | 0.92 | -3.46 |
| 11 | 5.05 | -8.02 |
| 12 | 4.10 | -125.47 |
| 13 | 3.54 | -62.83 |
| 14 | 5.07 | -55.84 |
| 15 | 5.33 | -22.31 |
| 16 | 4.70 | -24.09 |
| 17 | 3.73 | -81.40 |
| 18 | 4.74 | -96.32 |
| 19 | 4.17 | -40.62 |
| 20 | 4.20 | -43.44 |